[1]
A plane-wave DFT calculation with PBE was carried out for KRb2ZrBr after structural relaxation.

Lattice parameters (Å, degrees): 7.072 7.072 5.352 90.00 90.00 90.00
Atoms (fractional coordinates):
K 0.000 0.000 0.000
Rb 0.000 0.500 0.500
Rb 0.500 0.000 0.500
Zr 0.500 0.500 0.000
Br 0.500 0.500 0.500

## Properties
**Size of the total moment**: 3.108 Bohr magnetons per cell
**Energy relative to the elements, uncorrected**: 0.145 eV per atom

---

[2]
A plane-wave DFT calculation with PBE was carried out for K2RbZrBr6 after structural relaxation.

Lattice parameters (Å, degrees): 17.258 17.258 17.258 26.10 26.10 26.10
Atoms (fractional coordinates):
K 0.149 0.149 0.149
K 0.316 0.316 0.316
K 0.684 0.684 0.684
K 0.851 0.851 0.851
Rb 0.416 0.416 0.416
Rb 0.584 0.584 0.584
Zr 0.000 0.000 0.000
Zr 0.500 0.500 0.500
Br 0.139 0.633 0.633
Br 0.195 0.195 0.705
Br 0.195 0.705 0.195
Br 0.295 0.805 0.805
Br 0.367 0.367 0.861
Br 0.367 0.861 0.367
Br 0.633 0.139 0.633
Br 0.633 0.633 0.139
Br 0.705 0.195 0.195
Br 0.805 0.295 0.805
Br 0.805 0.805 0.295
Br 0.861 0.367 0.367

## Properties
**Size of the total moment**: 2.003 Bohr magnetons per cell
**Energy relative to the elements, uncorrected**: -1.523 eV per atom